Below is a relaxed structure of BaCd2AgPb, with properties calculated at the PBE-GGA level.

Calculated values
N(E_F) = 0.536 states/eV per atom
total magnetic moment = 0.0 Bohr magnetons per cell
calculated total energy = -2.32 eV per atom

Unit cell a=4.9658 b=5.0124 c=11.9165 alpha=90.00 beta=90.00 gamma=90.00
With the nearest neighbours (Å) after each atom.
Space group Imm2 (No. 44)
Symmetry-distinct sites (fractional):
1 Ba 0.0000 0.0000 0.0000  4 Pb 3.79, 4 Ag 3.84-3.93, 8 Cd 3.85-3.92
2 Cd 0.0000 0.0000 0.3689  2 Cd 2.86, 2 Ag 2.88, 1 Pb 2.95
3 Cd 0.0000 0.5000 0.2528  2 Cd 2.86, 2 Pb 2.97
4 Ag 0.0000 0.5000 0.7459  2 Cd 2.88, 2 Pb 2.94
5 Pb 0.0000 0.0000 0.6162  2 Ag 2.94, 3 Cd 2.95-2.97